Arrangement 1

First-principles (GGA-PBE) data for a relaxed structure of MgRuI2, as listed in Alexandria.

Values from the calculation:
- V: 23.84 Å³ per atom

Cell: 7.252 7.252 7.252 Å, 90.00 90.00 90.00°
Space group Fm-3m (No. 225)
One atom of each set of equivalent atoms:
Mg1 0.000 0.000 0.000 (multiplicity 4)
Ru1 0.000 0.000 0.500 (multiplicity 4)
I1 0.250 0.250 0.250 (multiplicity 8)

Arrangement 2

First-principles (GGA-PBE) data for a relaxed structure of MgRuI2, as listed in Alexandria.

Values from the calculation:
- V: 31.21 Å³ per atom

Cell: 6.267 6.267 12.714 Å, 90.00 90.00 90.00°
Space group I-42d (No. 122)
One atom of each set of equivalent atoms:
Mg1 0.000 0.000 0.000 (multiplicity 4)
Ru1 0.000 0.000 0.500 (multiplicity 4)
I1 0.227 0.250 0.625 (multiplicity 8)

Pick arrangement 2: it beats the second-best structure by 164 meV per atom.

Arrangement 1

First-principles (GGA-PBE) data for a relaxed structure of MgRuI3, as listed in Alexandria.

Values from the calculation:
- V: 36.84 Å³ per atom

Cell: 5.690 5.690 5.690 Å, 90.00 90.00 90.00°
Space group Pm-3m (No. 221)
One atom of each set of equivalent atoms:
Mg1 0.000 0.000 0.000 (multiplicity 1)
Ru1 0.500 0.500 0.500 (multiplicity 1)
I1 0.000 0.000 0.500 (multiplicity 3)

Arrangement 2

First-principles (GGA-PBE) data for a relaxed structure of MgRuI3, as listed in Alexandria.

Values from the calculation:
- V: 32.05 Å³ per atom

Cell: 5.432 5.432 5.432 Å, 90.00 90.00 90.00°
Space group Pm-3m (No. 221)
One atom of each set of equivalent atoms:
Mg1 0.000 0.000 0.000 (multiplicity 1)
Ru1 0.500 0.500 0.500 (multiplicity 1)
I1 0.000 0.500 0.500 (multiplicity 3)

Pick arrangement 2: it beats the second-best structure by 271 meV per atom.

Arrangement 1

First-principles (GGA-PBE) data for a relaxed structure of MgTeRuI2, as listed in Alexandria.

Values from the calculation:
- V: 31.34 Å³ per atom

Cell: 5.549 5.549 5.088 Å, 90.00 90.00 90.00°
Space group P4/mmm (No. 123)
One atom of each set of equivalent atoms:
Mg1 0.000 0.000 0.000 (multiplicity 1)
Te1 0.500 0.500 0.000 (multiplicity 1)
Ru1 0.500 0.500 0.500 (multiplicity 1)
I1 0.000 0.500 0.500 (multiplicity 2)

Arrangement 2

First-principles (GGA-PBE) data for a relaxed structure of MgTeRuI2, as listed in Alexandria.

Values from the calculation:
- V: 34.75 Å³ per atom

Cell: 5.553 5.553 5.635 Å, 90.00 90.00 90.00°
Space group P4/mmm (No. 123)
One atom of each set of equivalent atoms:
Mg1 0.000 0.000 0.000 (multiplicity 1)
Te1 0.000 0.000 0.500 (multiplicity 1)
Ru1 0.500 0.500 0.500 (multiplicity 1)
I1 0.000 0.500 0.000 (multiplicity 2)

Pick arrangement 1: it beats the second-best structure by 486 meV per atom.

Arrangement 1

First-principles (GGA-PBE) data for a relaxed structure of MgSI2, as listed in Alexandria.

Values from the calculation:
- V: 27.60 Å³ per atom

Cell: 7.615 7.615 7.615 Å, 90.00 90.00 90.00°
Space group Fm-3m (No. 225)
One atom of each set of equivalent atoms:
Mg1 0.000 0.000 0.000 (multiplicity 4)
S1 0.000 0.000 0.500 (multiplicity 4)
I1 0.250 0.250 0.250 (multiplicity 8)

Arrangement 2

First-principles (GGA-PBE) data for a relaxed structure of MgSI2, as listed in Alexandria.

Values from the calculation:
- V: 35.87 Å³ per atom

Cell: 8.105 8.105 8.737 Å, 90.00 90.00 90.00°
Space group I-42d (No. 122)
One atom of each set of equivalent atoms:
Mg1 0.000 0.000 0.000 (multiplicity 4)
S1 0.000 0.000 0.500 (multiplicity 4)
I1 0.196 0.750 0.125 (multiplicity 8)

Pick arrangement 2: it beats the second-best structure by 241 meV per atom.

Arrangement 1

First-principles (GGA-PBE) data for a relaxed structure of Mg3SI, as listed in Alexandria.

Values from the calculation:
- V: 36.15 Å³ per atom

Cell: 5.654 5.654 5.654 Å, 90.00 90.00 90.00°
Space group Pm-3m (No. 221)
One atom of each set of equivalent atoms:
Mg1 0.000 0.000 0.500 (multiplicity 3)
S1 0.500 0.500 0.500 (multiplicity 1)
I1 0.000 0.000 0.000 (multiplicity 1)

Arrangement 2

First-principles (GGA-PBE) data for a relaxed structure of Mg3SI, as listed in Alexandria.

Values from the calculation:
- V: 27.89 Å³ per atom

Cell: 5.186 5.186 5.186 Å, 90.00 90.00 90.00°
Space group Pm-3m (No. 221)
One atom of each set of equivalent atoms:
Mg1 0.000 0.000 0.500 (multiplicity 3)
S1 0.000 0.000 0.000 (multiplicity 1)
I1 0.500 0.500 0.500 (multiplicity 1)

Pick arrangement 2: it beats the second-best structure by 833 meV per atom.

Arrangement 1

First-principles (GGA-PBE) data for a relaxed structure of MgSb2SI, as listed in Alexandria.

Values from the calculation:
- V: 30.90 Å³ per atom

Cell: 5.249 5.249 5.608 Å, 90.00 90.00 90.00°
Space group P4/mmm (No. 123)
One atom of each set of equivalent atoms:
Mg1 0.000 0.000 0.000 (multiplicity 1)
Sb1 0.000 0.500 0.500 (multiplicity 2)
S1 0.500 0.500 0.500 (multiplicity 1)
I1 0.500 0.500 0.000 (multiplicity 1)

Arrangement 2

First-principles (GGA-PBE) data for a relaxed structure of MgSb2SI, as listed in Alexandria.

Values from the calculation:
- V: 31.78 Å³ per atom

Cell: 5.500 5.500 5.253 Å, 90.00 90.00 90.00°
Space group P4/mmm (No. 123)
One atom of each set of equivalent atoms:
Mg1 0.000 0.000 0.000 (multiplicity 1)
Sb1 0.000 0.500 0.000 (multiplicity 2)
S1 0.500 0.500 0.500 (multiplicity 1)
I1 0.000 0.000 0.500 (multiplicity 1)

Pick arrangement 1: it beats the second-best structure by 196 meV per atom.

Arrangement 1

First-principles (GGA-PBE) data for a relaxed structure of MgTaS2I, as listed in Alexandria.

Values from the calculation:
- V: 24.72 Å³ per atom

Cell: 4.565 4.565 5.930 Å, 90.00 90.00 90.00°
Space group P4/mmm (No. 123)
One atom of each set of equivalent atoms:
Mg1 0.000 0.000 0.000 (multiplicity 1)
Ta1 0.000 0.000 0.500 (multiplicity 1)
S1 0.000 0.500 0.000 (multiplicity 2)
I1 0.500 0.500 0.500 (multiplicity 1)

Arrangement 2

First-principles (GGA-PBE) data for a relaxed structure of MgTaS2I, as listed in Alexandria.

Values from the calculation:
- V: 23.75 Å³ per atom

Cell: 4.716 4.716 5.338 Å, 90.00 90.00 90.00°
Space group P4/mmm (No. 123)
One atom of each set of equivalent atoms:
Mg1 0.000 0.000 0.000 (multiplicity 1)
Ta1 0.500 0.500 0.500 (multiplicity 1)
S1 0.000 0.500 0.000 (multiplicity 2)
I1 0.000 0.000 0.500 (multiplicity 1)

Pick arrangement 2: it beats the second-best structure by 297 meV per atom.

Arrangement 1

First-principles (GGA-PBE) data for a relaxed structure of MgTeSI2, as listed in Alexandria.

Values from the calculation:
- V: 33.01 Å³ per atom

Cell: 5.506 5.506 5.444 Å, 90.00 90.00 90.00°
Space group P4/mmm (No. 123)
One atom of each set of equivalent atoms:
Mg1 0.000 0.000 0.000 (multiplicity 1)
Te1 0.500 0.500 0.000 (multiplicity 1)
S1 0.500 0.500 0.500 (multiplicity 1)
I1 0.000 0.500 0.500 (multiplicity 2)

Arrangement 2

First-principles (GGA-PBE) data for a relaxed structure of MgTeSI2, as listed in Alexandria.

Values from the calculation:
- V: 35.37 Å³ per atom

Cell: 5.522 5.522 5.800 Å, 90.00 90.00 90.00°
Space group P4/mmm (No. 123)
One atom of each set of equivalent atoms:
Mg1 0.000 0.000 0.000 (multiplicity 1)
Te1 0.000 0.000 0.500 (multiplicity 1)
S1 0.500 0.500 0.500 (multiplicity 1)
I1 0.000 0.500 0.000 (multiplicity 2)

Pick arrangement 1: it beats the second-best structure by 71 meV per atom.

Arrangement 1

First-principles (GGA-PBE) data for a relaxed structure of MgTe2SI, as listed in Alexandria.

Values from the calculation:
- V: 32.74 Å³ per atom

Cell: 5.517 5.517 5.377 Å, 90.00 90.00 90.00°
Space group P4/mmm (No. 123)
One atom of each set of equivalent atoms:
Mg1 0.000 0.000 0.000 (multiplicity 1)
Te1 0.000 0.500 0.000 (multiplicity 2)
S1 0.500 0.500 0.500 (multiplicity 1)
I1 0.000 0.000 0.500 (multiplicity 1)

Arrangement 2

First-principles (GGA-PBE) data for a relaxed structure of MgTe2SI, as listed in Alexandria.

Values from the calculation:
- V: 31.11 Å³ per atom

Cell: 5.320 5.320 5.496 Å, 90.00 90.00 90.00°
Space group P4/mmm (No. 123)
One atom of each set of equivalent atoms:
Mg1 0.000 0.000 0.000 (multiplicity 1)
Te1 0.000 0.500 0.500 (multiplicity 2)
S1 0.500 0.500 0.500 (multiplicity 1)
I1 0.500 0.500 0.000 (multiplicity 1)

Pick arrangement 2: it beats the second-best structure by 225 meV per atom.

Arrangement 1

First-principles (GGA-PBE) data for a relaxed structure of MgSbI2, as listed in Alexandria.

Values from the calculation:
- V: 29.85 Å³ per atom

Cell: 7.817 7.817 7.817 Å, 90.00 90.00 90.00°
Space group Fm-3m (No. 225)
One atom of each set of equivalent atoms:
Mg1 0.000 0.000 0.000 (multiplicity 4)
Sb1 0.000 0.000 0.500 (multiplicity 4)
I1 0.250 0.250 0.250 (multiplicity 8)

Arrangement 2

First-principles (GGA-PBE) data for a relaxed structure of MgSbI2, as listed in Alexandria.

Values from the calculation:
- V: 33.43 Å³ per atom

Cell: 8.566 8.566 7.288 Å, 90.00 90.00 90.00°
Space group I-42d (No. 122)
One atom of each set of equivalent atoms:
Mg1 0.000 0.000 0.000 (multiplicity 4)
Sb1 0.000 0.000 0.500 (multiplicity 4)
I1 0.201 0.750 0.125 (multiplicity 8)

Pick arrangement 2: it beats the second-best structure by 181 meV per atom.

Arrangement 1

First-principles (GGA-PBE) data for a relaxed structure of MgSbSeI2, as listed in Alexandria.

Values from the calculation:
- V: 39.94 Å³ per atom

Cell: 5.943 5.943 5.655 Å, 90.00 90.00 90.00°
Space group P4/mmm (No. 123)
One atom of each set of equivalent atoms:
Mg1 0.000 0.000 0.000 (multiplicity 1)
Sb1 0.000 0.000 0.500 (multiplicity 1)
Se1 0.500 0.500 0.000 (multiplicity 1)
I1 0.000 0.500 0.500 (multiplicity 2)

Arrangement 2

First-principles (GGA-PBE) data for a relaxed structure of MgSbSeI2, as listed in Alexandria.

Values from the calculation:
- V: 37.42 Å³ per atom

Cell: 5.826 5.826 5.512 Å, 90.00 90.00 90.00°
Space group P4/mmm (No. 123)
One atom of each set of equivalent atoms:
Mg1 0.000 0.000 0.000 (multiplicity 1)
Sb1 0.500 0.500 0.000 (multiplicity 1)
Se1 0.500 0.500 0.500 (multiplicity 1)
I1 0.000 0.500 0.500 (multiplicity 2)

Arrangement 3

First-principles (GGA-PBE) data for a relaxed structure of MgSbSeI2, as listed in Alexandria.

Values from the calculation:
- V: 35.20 Å³ per atom

Cell: 5.425 5.425 5.980 Å, 90.00 90.00 90.00°
Space group P4/mmm (No. 123)
One atom of each set of equivalent atoms:
Mg1 0.000 0.000 0.000 (multiplicity 1)
Sb1 0.000 0.000 0.500 (multiplicity 1)
Se1 0.500 0.500 0.500 (multiplicity 1)
I1 0.000 0.500 0.000 (multiplicity 2)

Pick arrangement 3: it beats the second-best structure by 38 meV per atom.

Arrangement 1

First-principles (GGA-PBE) data for a relaxed structure of MgSiSb2I, as listed in Alexandria.

Values from the calculation:
- V: 30.95 Å³ per atom

Cell: 5.286 5.286 5.538 Å, 90.00 90.00 90.00°
Space group P4/mmm (No. 123)
One atom of each set of equivalent atoms:
Mg1 0.000 0.000 0.000 (multiplicity 1)
Si1 0.500 0.500 0.500 (multiplicity 1)
Sb1 0.000 0.500 0.500 (multiplicity 2)
I1 0.500 0.500 0.000 (multiplicity 1)

Arrangement 2

First-principles (GGA-PBE) data for a relaxed structure of MgSiSb2I, as listed in Alexandria.

Values from the calculation:
- V: 32.28 Å³ per atom

Cell: 5.416 5.416 5.501 Å, 90.00 90.00 90.00°
Space group P4/mmm (No. 123)
One atom of each set of equivalent atoms:
Mg1 0.000 0.000 0.000 (multiplicity 1)
Si1 0.500 0.500 0.500 (multiplicity 1)
Sb1 0.000 0.500 0.000 (multiplicity 2)
I1 0.000 0.000 0.500 (multiplicity 1)

Pick arrangement 1: it beats the second-best structure by 296 meV per atom.